# Li2Bi2Pd4Pb (PBE, relaxed)
data_Li2Bi2Pd4Pb
_chemical_formula_sum 'Li4 Bi4 Pd8 Pb2'
_symmetry_space_group_name_H-M 'I 4/m m m'
_symmetry_Int_Tables_number 139
_symmetry_space_group_name_Hall '-I 4 2'
_cell_length_a 6.574
_cell_length_b 6.574
_cell_length_c 8.305
_cell_angle_alpha 90.00
_cell_angle_beta 90.00
_cell_angle_gamma 90.00
loop_
_atom_site_label
_atom_site_fract_x
_atom_site_fract_y
_atom_site_fract_z
_atom_site_occupancy
Li1 0.000 0.000 0.186 1
Bi1 0.000 0.500 0.250 1
Pd1 0.216 0.216 0.000 1
Pb1 0.000 0.000 0.500 1
# Total energy ... -75.32 eV per cell